No. 1
## GaFe2Cl (PBE-GGA)

Data for GaFe2Cl after structural relaxation.

a b c (Å): 4.345 4.345 4.345
angles (deg): 60.00 60.00 60.00
Element x y z (fractional)
Ga: 0.000 0.000 0.000
Fe: 0.250 0.250 0.250
Fe: 0.750 0.750 0.750
Cl: 0.500 0.500 0.500

Uncorrected formation energy ... 49.6 kJ/mol of atoms
Symmetry ... Fm-3m, No. 225

No. 2
## GaFeCl5 (PBE-GGA)

Data for GaFeCl5 after structural relaxation.

a b c (Å): 6.953 6.953 8.929
angles (deg): 103.07 103.07 109.72
Element x y z (fractional)
Ga: 0.200 0.800 0.750
Ga: 0.800 0.200 0.250
Fe: 0.500 0.500 0.000
Fe: 0.500 0.500 0.500
Cl: 0.099 0.264 0.444
Cl: 0.159 0.542 0.863
Cl: 0.264 0.099 0.944
Cl: 0.427 0.573 0.250
Cl: 0.458 0.841 0.637
Cl: 0.542 0.159 0.363
Cl: 0.573 0.427 0.750
Cl: 0.736 0.901 0.056
Cl: 0.841 0.458 0.137
Cl: 0.901 0.736 0.556

Uncorrected formation energy ... -89.5 kJ/mol of atoms
Symmetry ... C2/c, No. 15

Please write out number 1 again, unchanged.
## GaFe2Cl (PBE-GGA)

Data for GaFe2Cl after structural relaxation.

a b c (Å): 4.345 4.345 4.345
angles (deg): 60.00 60.00 60.00
Element x y z (fractional)
Ga: 0.000 0.000 0.000
Fe: 0.250 0.250 0.250
Fe: 0.750 0.750 0.750
Cl: 0.500 0.500 0.500

Uncorrected formation energy ... 49.6 kJ/mol of atoms
Symmetry ... Fm-3m, No. 225